Record 1
ReB4 | PBE-GGA | optimized geometry

Calculated values
Energy above the most stable polymorph in this dataset (eV per atom): 0.622

POSCAR file:
```
ReB4
1.0
5.4461 0.0000 0.0000
-2.7231 4.7165 0.0000
0.0000 0.0000 6.1623
B Re
16 4
Direct
0.0000 0.6624 0.0000
0.3376 0.0000 0.5000
0.0000 0.6624 0.5000
0.3376 0.3376 0.0000
0.6624 0.0000 0.0000
0.6624 0.0000 0.5000
0.6624 0.6624 0.0000
0.3376 0.3376 0.5000
0.0000 0.3376 0.5000
0.3333 0.6666 0.6137
0.3333 0.6666 0.8863
0.6667 0.3334 0.1137
0.0000 0.3376 0.0000
0.6667 0.3334 0.3863
0.6624 0.6624 0.5000
0.3376 0.0000 0.0000
0.0000 0.0000 0.7500
0.3333 0.6666 0.2500
0.0000 0.0000 0.2500
0.6667 0.3334 0.7500
```

***

Record 2
ThCu6 | PBE-GGA | optimized geometry

Calculated values
Formation energy from the elements (eV per atom): -0.144

POSCAR file:
```
ThCu6
1.0
-1.7760 6.6884 -4.1625
-4.4935 -1.9636 -1.2380
-4.0665 4.0794 8.2898
Cu Th
24 4
Direct
0.0632 0.9944 0.3083
0.4012 0.2500 0.0154
0.9368 0.4944 0.6917
0.9385 0.7500 0.9036
0.5632 0.5056 0.1917
0.8542 0.7500 0.1420
0.6837 0.7500 0.7437
0.1458 0.2500 0.8580
0.1837 0.7500 0.7563
0.5632 0.9944 0.1917
0.3542 0.7500 0.3580
0.3163 0.2500 0.2563
0.0632 0.5056 0.3083
0.0988 0.7500 0.5154
0.8163 0.2500 0.2437
0.9012 0.2500 0.4846
0.5615 0.2500 0.4036
0.4368 0.0056 0.8083
0.9368 0.0056 0.6917
0.0615 0.2500 0.0964
0.5988 0.7500 0.9846
0.4385 0.7500 0.5964
0.4368 0.4944 0.8083
0.6458 0.2500 0.6420
0.2602 0.2500 0.5650
0.2398 0.7500 0.0650
0.7398 0.7500 0.4350
0.7602 0.2500 0.9350
```

***

Record 3
RbZrTlSe3 | PBE-GGA | optimized geometry

Calculated values
Energy above the most stable polymorph in this dataset (eV per atom): 0.000

POSCAR file:
```
RbZrTlSe3
1.0
-7.9414 1.3174 1.5067
-0.9697 -2.9595 -2.5236
1.4780 -7.3811 8.0882
Rb Se Tl Zr
2 6 2 2
Direct
0.2521 0.2500 0.0228
0.7479 0.7500 0.9772
0.9462 0.2500 0.7816
0.8122 0.7500 0.4857
0.1878 0.2500 0.5143
0.3726 0.7500 0.7964
0.6274 0.2500 0.2036
0.0538 0.7500 0.2184
0.5560 0.2500 0.6442
0.4440 0.7500 0.3558
0.9067 0.2500 0.3367
0.0933 0.7500 0.6633
```

***

Record 4
LaPaCo | PBE-GGA | optimized geometry

Calculated values
Formation energy from the elements (eV per atom): 0.535

POSCAR file:
```
LaPaCo
1.0
0.0000 3.2541 3.2541
3.2541 0.0000 3.2541
3.2541 3.2541 0.0000
Pa La Co
1 1 1
Direct
0.2500 0.2500 0.2500
0.0000 0.0000 0.0000
0.5000 0.5000 0.5000
```

***

Record 5
NpZnGa | PBE-GGA | optimized geometry

Calculated values
Final energy (eV/cell): -16.43

POSCAR file:
```
NpZnGa
1.0
0.0000 3.2076 3.2076
3.2076 0.0000 3.2076
3.2076 3.2076 0.0000
Ga Np Zn
1 1 1
Direct
0.2500 0.2500 0.2500
0.7500 0.7500 0.7500
0.0000 0.0000 0.0000
```

***

Record 6
TbSmNO | PBE-GGA | optimized geometry

Calculated values
Energy above the most stable polymorph in this dataset (eV per atom): 0.021

POSCAR file:
```
TbSmNO
1.0
-1.6563 -6.5242 0.0840
7.5281 -1.9436 -2.5214
1.5140 -0.3230 4.7691
Sm O N Tb
4 4 4 4
Direct
0.4302 0.8763 0.5510
0.9302 0.1237 0.5510
0.5698 0.1237 0.0510
0.0698 0.8763 0.0510
0.9100 0.1371 0.0507
0.0900 0.8629 0.5507
0.4100 0.8629 0.0507
0.5900 0.1371 0.5507
0.4254 0.3787 0.0504
0.0746 0.3787 0.5504
0.9254 0.6213 0.0504
0.5746 0.6213 0.5504
0.4163 0.3753 0.5503
0.0837 0.3753 0.0503
0.5837 0.6247 0.0503
0.9163 0.6247 0.5503
```

***

Record 7
MgScInNi | PBE-GGA | optimized geometry

Calculated values
Energy above the most stable polymorph in this dataset (eV per atom): 0.000

POSCAR file:
```
MgScInNi
1.0
0.0000 3.2924 3.2924
3.2924 0.0000 3.2924
3.2924 3.2924 0.0000
In Mg Ni Sc
1 1 1 1
Direct
0.5000 0.5000 0.5000
0.7500 0.7500 0.7500
0.2500 0.2500 0.2500
0.0000 0.0000 0.0000
```

***

Record 8
Ta2AlBiIr2 | PBE-GGA | optimized geometry

Calculated values
Final energy (eV/cell): -103.36

POSCAR file:
```
Ta2AlBiIr2
1.0
6.2067 0.0000 0.0000
0.0000 6.2067 0.0000
3.1033 3.1033 6.1936
Ir Bi Al Ta
4 2 2 4
Direct
0.8926 0.8750 0.7500
0.6250 0.1074 0.2500
0.3574 0.3750 0.7500
0.1250 0.6426 0.2500
0.7500 0.2500 0.5000
0.5000 0.5000 0.0000
0.2500 0.7500 0.5000
0.0000 0.0000 0.0000
0.4936 0.9936 0.0128
0.7564 0.7564 0.4872
0.2436 0.2436 0.5128
0.0064 0.5064 0.9872
```

***

Record 9
Hf3TlSn5 | PBE-GGA | optimized geometry

Calculated values
Final energy (eV/cell): -52.79

POSCAR file:
```
Hf3TlSn5
1.0
-2.3343 2.8724 4.7678
-3.5198 -1.4038 -4.6981
-1.6573 -6.7610 3.2619
Sn Tl Hf
5 1 3
Direct
0.3333 0.6667 0.8163
0.6667 0.3333 0.8163
0.3333 0.6667 0.1837
0.6667 0.3333 0.1837
0.0000 0.0000 0.5000
0.0000 0.0000 0.0000
0.0000 0.5000 0.5000
0.5000 0.5000 0.5000
0.5000 0.0000 0.5000
```

***

Record 10
PaReAu | PBE-GGA | optimized geometry

Calculated values
Energy above the most stable polymorph in this dataset (eV per atom): 0.000
Formation energy from the elements (eV per atom): 0.427

POSCAR file:
```
PaReAu
1.0
0.0000 3.2457 3.2457
3.2457 0.0000 3.2457
3.2457 3.2457 0.0000
Re Pa Au
1 1 1
Direct
0.2500 0.2500 0.2500
0.5000 0.5000 0.5000
0.0000 0.0000 0.0000
```

***

Record 11
Ta8Re5 | PBE-GGA | optimized geometry

Calculated values
Energy above the most stable polymorph in this dataset (eV per atom): 0.181
Formation energy from the elements (eV per atom): 0.344

POSCAR file:
```
Ta8Re5
1.0
5.7394 -4.5822 6.1442
6.8889 0.6408 6.6198
2.5928 -1.4002 9.1108
Ta Re
8 5
Direct
0.0925 0.5863 0.0925
0.5479 0.5479 0.5479
0.9075 0.4137 0.9075
0.4137 0.9075 0.9075
0.5863 0.0925 0.0925
0.9075 0.9075 0.4137
0.0925 0.0925 0.5863
0.4521 0.4521 0.4521
0.0000 0.0000 0.0000
0.3547 0.3547 0.3547
0.1676 0.1676 0.1676
0.6453 0.6453 0.6453
0.8324 0.8324 0.8324
```

***

Record 12
Cu2Ag3 | PBE-GGA | optimized geometry

Calculated values
Energy above the most stable polymorph in this dataset (eV per atom): 0.061
Formation energy from the elements (eV per atom): 0.094

POSCAR file:
```
Cu2Ag3
1.0
4.8530 0.0000 0.0000
-2.4131 6.9948 0.0000
-1.6455 -2.7604 9.1578
Cu Ag
8 12
Direct
0.8044 0.8147 0.2086
0.3943 0.8976 0.8449
0.7978 0.8012 0.6996
0.3908 0.3960 0.5914
0.6082 0.0970 0.1518
0.0046 0.9983 0.4947
0.2068 0.7072 0.5596
0.1944 0.1922 0.3032
0.0052 0.5009 0.2565
0.5892 0.0858 0.6443
0.3916 0.9023 0.3470
0.5951 0.6025 0.8926
0.4096 0.4009 0.1094
0.8055 0.2944 0.4464
0.1912 0.1898 0.7887
0.2124 0.7077 0.0504
0.6128 0.6119 0.4164
0.0002 0.9992 0.0050
0.7924 0.2925 0.9495
0.9936 0.5077 0.7402
```

***

Number 1: theoretical density 9628 kg/m3, calculated volume 158.29 Å³/cell. Number 2: theoretical density 9881 kg/m3, calculated volume 412.29 Å³/cell. Number 3: theoretical density 5688 kg/m3, calculated volume 360.81 Å³/cell. Number 4: theoretical density 10334 kg/m3, calculated volume 68.92 Å³/cell. Number 5: theoretical density 9362 kg/m3, calculated volume 66.01 Å³/cell. Number 6: theoretical density 8169 kg/m3, calculated volume 275.89 Å³/cell. Number 7: theoretical density 5648 kg/m3, calculated volume 71.38 Å³/cell. Number 8: theoretical density 13673 kg/m3, calculated volume 238.59 Å³/cell. Number 9: theoretical density 9129 kg/m3, calculated volume 242.55 Å³/cell. Number 10: theoretical density 14915 kg/m3, calculated volume 68.38 Å³/cell. Number 11: theoretical density 17463 kg/m3, calculated volume 226.18 Å³/cell. Number 12: theoretical density 9630 kg/m3, calculated volume 310.87 Å³/cell.